1.
Computed, not measured: an optimized crystal structure of Ac2NiGe at the GGA-PBE level of DFT.

Computed properties:
For the energy of formation from the pure elements, the calculation gives -0.30 eV per atom. The value obtained for the total moment is 0.0 Bohr magnetons per cell. For the offset from the most stable computed form, the calculation gives 17.96 kJ/mol of atoms.

a b c (Å): 4.553 9.490 6.189
angles (deg): 112.44 111.58 90.00
Atoms (fractional coordinates):
Ac 0.831 0.415 0.661
Ge 0.501 0.750 0.000
Ac 0.169 0.085 0.339
Ni 0.999 0.250 0.000
Ac 0.831 0.915 0.661
Ac 0.169 0.585 0.339
Ge 0.499 0.250 0.000
Ni 0.001 0.750 0.000

***

2.
Computed, not measured: an optimized crystal structure of Ac2Ni3Ge at the GGA-PBE level of DFT.

Computed properties:
For the energy of formation from the pure elements, the calculation gives -0.44 eV per atom. The value obtained for the total moment is 0.0 Bohr magnetons per cell. For the offset from the most stable computed form, the calculation gives 0.00 kJ/mol of atoms.

a b c (Å): 4.313 4.186 7.870
angles (deg): 105.42 105.90 90.00
Atoms (fractional coordinates):
Ge 0.460 0.960 0.921
Ni 0.541 0.541 0.083
Ni 0.292 0.792 0.585
Ni 0.709 0.709 0.418
Ac 0.128 0.128 0.256
Ac 0.868 0.368 0.737

***

3.
Computed, not measured: an optimized crystal structure of AcNi5Ge3 at the GGA-PBE level of DFT.

Computed properties:
For the energy of formation from the pure elements, the calculation gives -0.50 eV per atom. The value obtained for the total moment is 0.0 Bohr magnetons per cell.

a b c (Å): 3.839 6.400 12.034
angles (deg): 90.00 90.00 107.45
Atoms (fractional coordinates):
Ni 0.452 0.904 0.145
Ac 0.833 0.666 0.750
Ni 0.452 0.904 0.355
Ge 0.620 0.240 0.037
Ni 0.000 0.000 0.000
Ni 0.548 0.096 0.855
Ni 0.193 0.385 0.567
Ni 0.807 0.615 0.067
Ac 0.167 0.334 0.250
Ge 0.108 0.216 0.750
Ni 0.000 0.000 0.500
Ni 0.193 0.385 0.933
Ni 0.807 0.615 0.433
Ge 0.620 0.240 0.463
Ni 0.548 0.096 0.645
Ge 0.892 0.784 0.250
Ge 0.380 0.760 0.963
Ge 0.380 0.760 0.537

***

4.
Computed, not measured: an optimized crystal structure of Ac5Ni3Ge3 at the GGA-PBE level of DFT.

Computed properties:
For the energy of formation from the pure elements, the calculation gives -0.29 eV per atom. The value obtained for the total moment is 0.0 Bohr magnetons per cell.

a b c (Å): 4.277 9.258 9.258
angles (deg): 120.00 90.00 90.00
Atoms (fractional coordinates):
Ge 0.000 0.670 0.670
Ac 0.500 0.237 0.237
Ac 0.500 0.667 0.333
Ge 0.000 0.330 0.000
Ac 0.500 0.333 0.667
Ni 0.500 0.578 0.578
Ni 0.500 0.000 0.422
Ni 0.500 0.422 0.000
Ac 0.500 0.763 0.000
Ge 0.000 0.000 0.330
Ac 0.500 0.000 0.763

***

5.
Computed, not measured: an optimized crystal structure of Ac2NiGe at the GGA-PBE level of DFT.

Computed properties:
For the energy of formation from the pure elements, the calculation gives -0.33 eV per atom. The value obtained for the total moment is 0.0 Bohr magnetons per cell. For the offset from the most stable computed form, the calculation gives 14.74 kJ/mol of atoms.

a b c (Å): 3.776 3.776 7.687
angles (deg): 90.00 90.00 90.00
Atoms (fractional coordinates):
Ac 0.000 0.000 0.761
Ni 0.500 0.500 0.000
Ac 0.000 0.000 0.239
Ge 0.500 0.500 0.500

***

6.
Computed, not measured: an optimized crystal structure of Ac2Ni2Ge3 at the GGA-PBE level of DFT.

Computed properties:
For the energy of formation from the pure elements, the calculation gives -0.53 eV per atom. The value obtained for the total moment is 0.0 Bohr magnetons per cell. For the offset from the most stable computed form, the calculation gives 0.00 kJ/mol of atoms.

a b c (Å): 4.534 7.022 9.752
angles (deg): 90.00 103.44 90.00
Atoms (fractional coordinates):
Ac 0.838 0.750 0.675
Ac 0.053 0.750 0.106
Ge 0.435 0.934 0.871
Ac 0.162 0.250 0.325
Ni 0.697 0.557 0.394
Ni 0.303 0.057 0.606
Ge 0.435 0.566 0.871
Ni 0.697 0.943 0.394
Ni 0.303 0.443 0.606
Ge 0.777 0.250 0.555
Ac 0.947 0.250 0.894
Ge 0.565 0.434 0.129
Ge 0.223 0.750 0.445
Ge 0.565 0.066 0.129

***

Let's list total energy in order: -4.9514 -5.4676 -5.7058 -4.9935 -4.9848 -5.3315 eV/atom.